Density functional theory data (PBE) for a relaxed structure of Sc6SnBi2.

For the energy of formation, the calculation gives 0.03 eV per atom.

It has space group P4_2/mnm (No. 136), with a = 6.410 Å, b = 6.410 Å, c = 13.779 Å, α = 90.00°, β = 90.00° and γ = 90.00°. Symmetry generates all atoms from Sc at (0.188, 0.188, 0.163), Sc at (0.195, 0.195, 0.500), Sn at (0.000, 0.000, 0.000) and Bi at (0.000, 0.000, 0.333).

=====

Density functional theory data (PBE) for a relaxed structure of Sc4SnBiTe2.

The raw formation energy is -7.2 eV per formula unit.

It has space group P2/m (No. 10), with a = 7.258 Å, b = 4.193 Å, c = 7.273 Å, α = 90.00°, β = 109.39° and γ = 90.00°. Symmetry generates all atoms from Sc at (0.241, 0.000, 0.241), Sc at (0.245, 0.500, 0.756), Sn at (0.000, 0.500, 0.000), Bi at (0.500, 0.000, 0.000), Te at (0.000, 0.000, 0.500) and Te at (0.500, 0.500, 0.500).

=====

Density functional theory data (PBE) for a relaxed structure of Sr4Sc2Bi.

For the energy of formation, the calculation gives 0.34 eV per atom.

It has space group I4/mmm (No. 139), with a = 6.474 Å, b = 6.474 Å, c = 16.822 Å, α = 90.00°, β = 90.00° and γ = 90.00°. Symmetry generates all atoms from Sr at (0.000, 0.000, 0.194), Sr at (0.000, 0.500, 0.000), Sc at (0.000, 0.000, 0.413) and Bi at (0.000, 0.000, 0.000).

=====

Density functional theory data (PBE) for a relaxed structure of SrScBi3.

For the energy of formation, the calculation gives -0.55 eV per atom.

It has space group Pbcm (No. 57), with a = 14.700 Å, b = 6.396 Å, c = 6.908 Å, α = 90.00°, β = 90.00° and γ = 90.00°. Symmetry generates all atoms from Sr at (0.186, 0.013, 0.250), Sc at (0.407, 0.750, 0.000), Bi at (0.006, 0.750, 0.000), Bi at (0.276, 0.000, 0.750) and Bi at (0.430, 0.143, 0.250).

=====

Density functional theory data (PBE) for a relaxed structure of SrSc3Bi2.

For the energy of formation, the calculation gives -0.47 eV per atom.

It has space group C2/m (No. 12), with a = 18.641 Å, b = 4.587 Å, c = 9.776 Å, α = 90.00°, β = 118.83° and γ = 90.00°. Symmetry generates all atoms from Sr at (0.133, 0.000, 0.083), Sc at (0.053, 0.000, 0.409), Sc at (0.085, 0.500, 0.658), Sc at (0.188, 0.500, 0.467), Bi at (0.018, 0.500, 0.182) and Bi at (0.211, 0.000, 0.720).

=====

Density functional theory data (PBE) for a relaxed structure of SrScBi3.

For the energy of formation, the calculation gives -0.34 eV per atom.

It has space group Pm-3m (No. 221), with a = 5.653 Å, b = 5.653 Å, c = 5.653 Å, α = 90.00°, β = 90.00° and γ = 90.00°. Symmetry generates all atoms from Sr at (0.000, 0.000, 0.000), Sc at (0.500, 0.500, 0.500) and Bi at (0.000, 0.500, 0.500).

=====

Density functional theory data (PBE) for a relaxed structure of Sr2ScBi2.

For the energy of formation, the calculation gives -0.73 eV per atom.

It has space group Ibam (No. 72), with a = 7.659 Å, b = 14.145 Å, c = 6.884 Å, α = 90.00°, β = 90.00° and γ = 90.00°. Symmetry generates all atoms from Sr at (0.179, 0.146, 0.000), Sc at (0.000, 0.500, 0.250) and Bi at (0.234, 0.385, 0.000).

=====

Density functional theory data (PBE) for a relaxed structure of Sr3ScBi.

For the energy of formation, the calculation gives 0.53 eV per atom.

It has space group Pm-3m (No. 221), with a = 6.149 Å, b = 6.149 Å, c = 6.149 Å, α = 90.00°, β = 90.00° and γ = 90.00°. Symmetry generates all atoms from Sr at (0.000, 0.000, 0.500), Sc at (0.000, 0.000, 0.000) and Bi at (0.500, 0.500, 0.500).

=====

Number 1: size of the total moment 0.00 μB/atom. Number 2: size of the total moment 0.00 μB/atom. Number 3: size of the total moment 0.25 μB/atom. Number 4: size of the total moment 0.00 μB/atom. Number 5: size of the total moment 0.19 μB/atom. Number 6: size of the total moment 0.00 μB/atom. Number 7: size of the total moment 0.20 μB/atom. Number 8: size of the total moment 0.75 μB/atom.